Record 1
TeCl3 at its PBEsol-relaxed geometry. Source: Alexandria via LeMat-Bulk, functional meta-GGA SCAN.

Space-group type = Cmcm (63)
M_tot = 0.5 μB per formula unit
Energy relative to the lowest polymorph listed for this composition = 0 meV per atom
Formation energy (no corrections) = -22.8 kJ per mole of atoms
Uncorrected energy = -124.3 eV for the cell shown

Unit cell a=3.538 b=8.066 c=8.066 alpha=104.97 beta=90.00 gamma=90.00
Element x y z (fractional)
1 Te 0.250 0.344 0.656
2 Te 0.750 0.656 0.344
3 Cl 0.250 0.431 0.184
4 Cl 0.750 0.569 0.816
5 Cl 0.750 0.168 0.832
6 Cl 0.250 0.816 0.569
7 Cl 0.750 0.184 0.431
8 Cl 0.250 0.832 0.168


Record 2
LaBe4Pt at its PBEsol-relaxed geometry. Source: Alexandria via LeMat-Bulk, functional meta-GGA SCAN.

Space-group type = F-43m (216)
Calculated formation energy = -0.03 eV/atom
M_tot = 0.0 μB per formula unit
Uncorrected energy = -130.9 eV for the cell shown

Unit cell a=4.852 b=4.852 c=4.852 alpha=60.00 beta=60.00 gamma=60.00
Element x y z (fractional)
1 Be 0.368 0.896 0.368
2 Be 0.368 0.368 0.896
3 Be 0.896 0.368 0.368
4 Be 0.368 0.368 0.368
5 La 0.750 0.750 0.750
6 Pt 0.000 0.000 0.000